{
  "formula": "Ac2CrReO8",
  "functional": "GGA+U",
  "state": "relaxed",
  "energy_ev_per_atom": -7.97,
  "lattice_angstrom": [[4.503, 0.000, 0.000], [0.621, 5.433, 0.000], [0.348, 0.707, 7.141]],
  "species": ["Ac", "Ac", "Cr", "Re", "O", "O", "O", "O", "O", "O", "O", "O"],
  "frac_coords": [[0.186, 0.015, 0.247], [0.814, 0.985, 0.753], [0.500, 0.500, 0.000], [0.500, 0.500, 0.500], [0.195, 0.744, 0.557], [0.292, 0.818, 0.948], [0.301, 0.245, 0.625], [0.318, 0.474, 0.257], [0.682, 0.526, 0.743], [0.699, 0.755, 0.375], [0.708, 0.182, 0.052], [0.805, 0.256, 0.443]]
}